First-principles (PBE) data for crystalline CaSe2 at its relaxed geometry, as listed in the Alexandria database.

Geometry as POSCAR:
```
CaSe2
1.0
-1.991 1.991 10.577
1.991 -1.991 10.577
1.991 1.991 -10.577
Ca Se
2 4
Direct
0.375 0.625 0.750
0.625 0.375 0.250
0.067 0.817 0.250
0.183 0.933 0.250
0.817 0.067 0.750
0.933 0.183 0.750
```

Computed properties:
calculated total energy = -4.173 eV/atom
energy relative to the elements, uncorrected = -3.5 eV/f.u.
symmetry = I4_1/amd (141)
crystal system = tetragonal